DFT (PBE-GGA) results for crystalline BaW2Se at its relaxed geometry.

a b c (Å): 5.9399 12.0363 2.8534
angles (deg): 90.00 118.10 90.00
Last column: nearest neighbours and their distance in Å.
Space group C2/m (No. 12)
Inequivalent atoms, fractional coordinates:
Ba1 0.0000 0.0000 0.0000 x2  2 Ba 2.85, 4 Se 2.97-3.00
W1 0.2500 0.2500 0.0000 x4  6 W 2.85-3.00
Se1 0.0000 0.5000 0.0000 x2  2 Se 2.85, 4 Ba 2.97-3.00

## Properties
Crystal system ... monoclinic

---

DFT (PBE-GGA) results for crystalline BaWSe at its relaxed geometry.

a b c (Å): 7.7178 7.7178 7.7178
angles (deg): 90.00 90.00 90.00
Last column: nearest neighbours and their distance in Å.
Space group F-43m (No. 216)
Inequivalent atoms, fractional coordinates:
Ba1 0.0000 0.0000 0.0000 x4  4 Se 3.34, 4 W 3.34
W1 0.2500 0.2500 0.7500 x4  4 Ba 3.34
Se1 0.2500 0.2500 0.2500 x4  4 Ba 3.34

## Properties
Crystal system ... cubic

---

DFT (PBE-GGA) results for crystalline Ba2WSe at its relaxed geometry.

a b c (Å): 3.5333 3.5333 9.9283
angles (deg): 90.00 90.00 90.00
Last column: nearest neighbours and their distance in Å.
Space group P4mm (No. 99)
Inequivalent atoms, fractional coordinates:
Ba1 0.0000 0.0000 0.0000 x1  1 Se 3.43, 4 W 3.50, 4 Ba 3.53
Ba2 0.5000 0.5000 0.4085 x1  1 W 3.42, 4 Se 3.49, 4 Ba 3.53
W1 0.5000 0.5000 0.7531 x1  4 Se 2.68
Se1 0.0000 0.0000 0.6545 x1  4 W 2.68

## Properties
Crystal system ... tetragonal

---

DFT (PBE-GGA) results for crystalline BaW2Se at its relaxed geometry.

a b c (Å): 3.3807 3.3807 7.9248
angles (deg): 90.00 90.00 90.00
Last column: nearest neighbours and their distance in Å.
Space group P4mm (No. 99)
Inequivalent atoms, fractional coordinates:
Ba1 0.0000 0.0000 0.0000 x1  4 Ba 3.38, 4 Se 3.46, 4 W 3.55
W1 0.0000 0.0000 0.5155 x1  4 W 2.68, 4 Se 2.87
W2 0.5000 0.5000 0.6684 x1  4 W 2.68, 1 Se 2.80
Se1 0.5000 0.5000 0.3156 x1  5 W 2.80-2.87

## Properties
Crystal system ... tetragonal

---

DFT (PBE-GGA) results for crystalline BaW2Se at its relaxed geometry.

a b c (Å): 3.9380 4.9611 5.1471
angles (deg): 90.00 97.20 90.00
Last column: nearest neighbours and their distance in Å.
Space group P2/m (No. 10)
Inequivalent atoms, fractional coordinates:
Ba1 0.0000 0.0000 0.0000 x1  2 Se 3.04, 4 W 3.36
W1 0.2925 0.5000 0.6492 x2  2 W 2.38-2.60
Se1 0.5000 0.0000 0.5000 x1  4 W 2.75, 2 Ba 3.04

## Properties
Crystal system ... monoclinic

---

DFT (PBE-GGA) results for crystalline BaWSe at its relaxed geometry.

a b c (Å): 3.4385 3.4385 7.3074
angles (deg): 90.00 90.00 120.00
Last column: nearest neighbours and their distance in Å.
Space group P3m1 (No. 156)
Inequivalent atoms, fractional coordinates:
Ba1 0.0000 0.0000 0.0000 x1  3 W 3.40, 6 Ba 3.44, 3 Se 3.54
W1 0.3333 0.6667 0.6224 x1  3 Se 2.56
Se1 0.6667 0.3333 0.4019 x1  3 W 2.56

## Properties
Crystal system ... trigonal

---

DFT (PBE-GGA) results for crystalline BaW2Se at its relaxed geometry.

a b c (Å): 5.7856 10.7958 2.8737
angles (deg): 90.00 90.00 90.00
Last column: nearest neighbours and their distance in Å.
Space group Cmmm (No. 65)
Inequivalent atoms, fractional coordinates:
Ba1 0.0000 0.0000 0.0000 x2  2 Ba 2.87, 2 Se 2.89
W1 0.2500 0.2500 0.5000 x4  4 W 2.87-2.89
Se1 0.0000 0.5000 0.0000 x2  2 Se 2.87, 2 Ba 2.89

## Properties
Crystal system ... orthorhombic

---

DFT (PBE-GGA) results for crystalline BaW2Se at its relaxed geometry.

a b c (Å): 6.9933 6.9933 6.9933
angles (deg): 90.00 90.00 90.00
Last column: nearest neighbours and their distance in Å.
Space group F-43m (No. 216)
Inequivalent atoms, fractional coordinates:
Ba1 0.0000 0.0000 0.0000 x4  4 W 3.03, 4 Se 3.03
W1 0.0000 0.0000 0.5000 x4  4 Se 3.03, 4 W 3.03
W2 0.2500 0.2500 0.7500 x4  4 W 3.03, 4 Ba 3.03
Se1 0.2500 0.2500 0.2500 x4  4 Ba 3.03, 4 W 3.03

## Properties
Crystal system ... cubic

---

DFT (PBE-GGA) results for crystalline Ba2WSe at its relaxed geometry.

a b c (Å): 12.4383 4.4060 5.1341
angles (deg): 90.00 96.37 90.00
Last column: nearest neighbours and their distance in Å.
Space group Cm (No. 8)
Inequivalent atoms, fractional coordinates:
Ba1 0.0000 0.0000 0.0000 x2  4 Se 3.39-3.52, 3 W 3.52
Ba2 0.2243 0.5000 0.5393 x2  4 W 3.38-3.55, 3 Se 3.48-3.55
W1 0.2849 0.0000 0.0775 x2  1 Se 2.64
Se1 0.4429 0.0000 0.4674 x2  1 W 2.64

## Properties
Crystal system ... monoclinic

---

DFT (PBE-GGA) results for crystalline BaW2Se at its relaxed geometry.

a b c (Å): 4.0841 4.0841 5.6349
angles (deg): 90.00 90.00 90.00
Last column: nearest neighbours and their distance in Å.
Space group P4/mmm (No. 123)
Inequivalent atoms, fractional coordinates:
Ba1 0.0000 0.0000 0.0000 x1  4 Se 2.89
W1 0.0000 0.5000 0.5000 x2  4 W 2.89
Se1 0.5000 0.5000 0.0000 x1  4 Ba 2.89

## Properties
Crystal system ... tetragonal

---

DFT (PBE-GGA) results for crystalline Ba2WSe at its relaxed geometry.

a b c (Å): 4.4777 5.0436 11.7024
angles (deg): 90.00 90.00 90.00
Last column: nearest neighbours and their distance in Å.
Space group Amm2 (No. 38)
Inequivalent atoms, fractional coordinates:
Ba1 0.0000 0.0000 0.0000 x2  3 Se 3.39-3.59, 4 W 3.56
Ba2 0.5000 0.0000 0.2893 x2  3 W 3.37-3.61, 4 Se 3.55
W1 0.5000 0.0000 0.5982 x2  2 Se 2.50
Se1 0.0000 0.0000 0.6933 x2  2 W 2.50

## Properties
Crystal system ... orthorhombic

---

DFT (PBE-GGA) results for crystalline Ba2WSe at its relaxed geometry.

a b c (Å): 4.5747 4.5747 25.3519
angles (deg): 90.00 90.00 120.00
Last column: nearest neighbours and their distance in Å.
Space group R-3m (No. 166, hexagonal axes)
Inequivalent atoms, fractional coordinates:
Ba1 0.0000 0.0000 0.2434 x6  3 Se 3.28, 3 W 3.49
W1 0.0000 0.0000 0.0000 x3  6 Ba 3.49
Se1 0.0000 0.0000 0.5000 x3  6 Ba 3.28

## Properties
Crystal system ... trigonal

---

Number 1: magnetization 0.000 μB per cell, volume 179.9 Å³/cell, E_form (uncorrected) 1.12 eV per atom. Number 2: magnetization 22.209 μB per cell, volume 459.7 Å³/cell, E_form (uncorrected) 1.38 eV per atom. Number 3: magnetization 0.232 μB per cell, volume 123.9 Å³/cell, E_form (uncorrected) 0.30 eV per atom. Number 4: magnetization 0.000 μB per cell, volume 90.6 Å³/cell, E_form (uncorrected) 0.34 eV per atom. Number 5: magnetization 0.000 μB per cell, volume 99.8 Å³/cell, E_form (uncorrected) 0.78 eV per atom. Number 6: magnetization 0.000 μB per cell, volume 74.8 Å³/cell, E_form (uncorrected) 0.41 eV per atom. Number 7: magnetization 0.000 μB per cell, volume 179.5 Å³/cell, E_form (uncorrected) 1.50 eV per atom. Number 8: magnetization 0.001 μB per cell, volume 342.0 Å³/cell, E_form (uncorrected) 1.17 eV per atom. Number 9: magnetization 7.981 μB per cell, volume 279.6 Å³/cell, E_form (uncorrected) 0.23 eV per atom. Number 10: magnetization 0.003 μB per cell, volume 94.0 Å³/cell, E_form (uncorrected) 1.23 eV per atom. Number 11: magnetization 0.002 μB per cell, volume 264.3 Å³/cell, E_form (uncorrected) 0.15 eV per atom. Number 12: magnetization 12.558 μB per cell, volume 459.5 Å³/cell, E_form (uncorrected) 0.33 eV per atom.